! Li2NpIO8 (PBE, optimized geometry); values from VASP
! SG: I-4m2
! Theoretical density in g cm⁻³: 5.65
! M_tot in Bohr magnetons per cell: 0.00
! Raw formation energy in eV per atom: -1.3695
&SYSTEM
  ibrav = 0, nat = 12, ntyp = 4
/
ATOMIC_SPECIES
Li 6.94 Li.upf
Np 237.00 Np.upf
I 126.90 I.upf
O 16.00 O.upf
CELL_PARAMETERS angstrom
5.759 0.788 0.000
-1.849 5.511 0.000
-1.955 -3.149 4.478
ATOMIC_POSITIONS angstrom
Li 2.880 0.394 2.239
Li 1.955 3.149 0.000
Np 0.000 0.000 0.000
I -0.924 2.756 2.239
O 1.292 -0.454 1.337
O 0.392 2.458 0.964
O 0.074 -1.708 3.514
O 2.824 -1.406 3.141
O 3.519 3.840 0.964
O 4.468 1.241 1.337
O 2.935 2.193 3.141
O -0.074 1.708 3.514

=====

! Li2NpPbI8 (PBE, optimized geometry); values from VASP
! SG: P-1
! Theoretical density in g cm⁻³: 4.72
! M_tot in Bohr magnetons per cell: 3.00
! Raw formation energy in eV per atom: -0.8639
&SYSTEM
  ibrav = 0, nat = 12, ntyp = 4
/
ATOMIC_SPECIES
Li 6.94 Li.upf
Np 237.00 Np.upf
Pb 207.20 Pb.upf
I 126.90 I.upf
CELL_PARAMETERS angstrom
7.586 -0.781 0.035
-0.857 7.686 1.158
0.075 1.466 9.225
ATOMIC_POSITIONS angstrom
Li 3.864 3.255 6.617
Li 2.939 5.116 3.801
Np 0.000 0.000 0.000
Pb 0.037 0.733 4.613
I 0.203 6.138 3.598
I 4.188 5.361 1.318
I 6.464 1.285 1.904
I 6.601 2.233 6.821
I 2.616 3.009 9.100
I 0.340 7.085 8.515
I 4.004 5.994 6.154
I 2.800 2.377 4.265

=====

! LiNpPbI6 (PBE, optimized geometry); values from VASP
! SG: P-31c
! Theoretical density in g cm⁻³: 5.38
! M_tot in Bohr magnetons per cell: 8.00
! Raw formation energy in eV per atom: -0.8271
&SYSTEM
  ibrav = 0, nat = 18, ntyp = 4
/
ATOMIC_SPECIES
Li 6.94 Li.upf
Np 237.00 Np.upf
Pb 207.20 Pb.upf
I 126.90 I.upf
CELL_PARAMETERS angstrom
7.727 0.000 0.000
-3.863 6.692 0.000
0.000 0.000 14.464
ATOMIC_POSITIONS angstrom
Li 0.000 4.461 3.616
Li 3.863 2.231 10.848
Np 3.863 2.231 3.616
Np 0.000 4.461 10.848
Pb 0.000 0.000 0.000
Pb 0.000 0.000 7.232
I 2.464 4.371 1.844
I -1.310 2.372 1.844
I 2.710 0.051 9.076
I 5.174 4.320 12.620
I 1.310 2.372 5.388
I -2.464 4.371 5.388
I 5.017 0.051 12.620
I 1.154 6.641 5.388
I 6.328 2.321 9.076
I -1.154 6.641 1.844
I 2.553 4.320 9.076
I 1.399 2.321 12.620

=====

! RbLiNpI6 (PBE, optimized geometry); values from VASP
! SG: P-31c
! Theoretical density in g cm⁻³: 4.16
! M_tot in Bohr magnetons per cell: 6.00
! Raw formation energy in eV per atom: -1.0347
&SYSTEM
  ibrav = 0, nat = 18, ntyp = 4
/
ATOMIC_SPECIES
Rb 85.47 Rb.upf
Li 6.94 Li.upf
Np 237.00 Np.upf
I 126.90 I.upf
CELL_PARAMETERS angstrom
-3.287 -6.465 2.806
2.110 0.360 -7.476
15.010 -5.916 3.952
ATOMIC_POSITIONS angstrom
Rb 0.000 0.000 0.000
Rb 7.505 -2.958 1.976
Li 2.265 -5.669 0.366
Li 11.568 -6.352 -1.085
Np 4.064 -3.394 -3.061
Np 9.769 -8.627 2.342
I 1.445 -4.733 -2.398
I 2.955 -0.741 -2.155
I 8.493 -6.186 3.566
I 10.878 -11.280 1.437
I 4.892 -4.319 -0.314
I 6.653 -1.878 -3.348
I 10.736 -9.163 5.147
I 5.340 -5.836 -4.285
I 7.180 -10.144 2.629
I 3.097 -2.858 -5.865
I 8.941 -7.702 -0.405
I 12.388 -7.289 1.679

=====

! LiNpSn2I8 (PBE, optimized geometry); values from VASP
! SG: P2/m
! Theoretical density in g cm⁻³: 4.89
! M_tot in Bohr magnetons per cell: 4.00
! Raw formation energy in eV per atom: -0.6992
&SYSTEM
  ibrav = 0, nat = 12, ntyp = 4
/
ATOMIC_SPECIES
Li 6.94 Li.upf
Np 237.00 Np.upf
Sn 118.71 Sn.upf
I 126.90 I.upf
CELL_PARAMETERS angstrom
-0.544 -7.658 -0.814
6.369 -1.022 3.362
-4.289 -0.541 7.963
ATOMIC_POSITIONS angstrom
Li -2.144 -0.271 3.981
Np 0.000 0.000 0.000
Sn -0.260 -4.741 7.164
Sn 1.797 -4.481 3.346
I 3.663 -2.082 4.498
I 0.173 -6.472 9.962
I -0.057 -6.877 2.167
I -2.127 -7.139 6.012
I 1.363 -2.749 0.548
I 1.593 -2.344 8.343
I 2.231 -6.075 5.943
I -0.694 -3.146 4.567

=====

! LiNpTl2I6 (PBE, optimized geometry); values from VASP
! SG: P2_1/c
! Theoretical density in g cm⁻³: 5.81
! M_tot in Bohr magnetons per cell: 8.00
! Raw formation energy in eV per atom: -0.8387
&SYSTEM
  ibrav = 0, nat = 20, ntyp = 4
/
ATOMIC_SPECIES
Li 6.94 Li.upf
Np 237.00 Np.upf
Tl 204.38 Tl.upf
I 126.90 I.upf
CELL_PARAMETERS angstrom
8.031 0.000 -0.073
0.000 8.642 0.000
-0.034 0.000 11.654
ATOMIC_POSITIONS angstrom
Li 3.999 0.000 5.791
Li 0.000 4.321 0.000
Np 4.016 0.000 -0.036
Np -0.017 4.321 5.827
Tl 0.263 7.847 2.852
Tl 4.262 5.116 8.643
Tl 7.734 0.795 8.729
Tl 3.736 3.526 2.938
I 2.504 5.983 0.578
I 6.503 6.980 6.368
I 5.493 2.659 11.003
I 1.495 1.662 5.213
I 2.508 6.020 5.162
I 6.507 6.943 10.952
I 5.490 2.622 6.420
I 1.491 1.699 0.629
I 7.123 4.533 2.780
I 3.091 8.431 8.644
I 0.874 4.110 8.801
I 4.907 0.212 2.937